Material: Rb2LaPrSe4
Method: DFT, PBE
State: optimized geometry

```
Rb2LaPrSe4
1.0
7.692 0.000 0.000
0.000 4.440 0.000
-2.562 0.000 8.015
Rb La Pr Se
2 1 1 4
direct
0.000 0.000 0.000
0.500 0.500 0.000
0.000 0.500 0.500
0.500 0.000 0.500
0.236 0.000 0.702
0.268 0.500 0.298
0.732 0.500 0.702
0.764 0.000 0.298
```

raw formation energy	-1.774	eV/atom
DFT total energy	-39.8	eV per cell
calculated volume	273.69	Å³/cell
magnetization	0.00	μB per formula unit

=====

Material: Rb3LaPr2Se6
Method: DFT, PBE
State: optimized geometry

```
Rb3LaPr2Se6
1.0
3.836 -6.644 0.000
3.836 6.644 0.000
-2.557 0.000 8.022
Rb La Pr Se
3 1 2 6
direct
0.000 0.000 0.000
0.333 0.667 0.000
0.667 0.333 0.000
0.500 0.500 0.500
0.167 0.833 0.500
0.833 0.167 0.500
0.097 0.433 0.298
0.232 0.232 0.702
0.433 0.097 0.298
0.567 0.903 0.702
0.768 0.768 0.298
0.903 0.567 0.702
```

raw formation energy	-1.760	eV/atom
DFT total energy	-59.4	eV per cell
calculated volume	408.93	Å³/cell
magnetization	0.00	μB per formula unit

=====

Material: Rb3La2PrTe6
Method: DFT, PBE
State: optimized geometry

```
Rb3La2PrTe6
1.0
4.088 -7.080 0.000
4.088 7.080 0.000
-2.727 0.000 8.554
Rb La Pr Te
3 2 1 6
direct
0.000 0.000 0.000
0.333 0.667 0.000
0.667 0.333 0.000
0.167 0.833 0.500
0.833 0.167 0.500
0.500 0.500 0.500
0.100 0.431 0.294
0.238 0.238 0.706
0.431 0.100 0.294
0.569 0.900 0.706
0.762 0.762 0.294
0.900 0.569 0.706
```

raw formation energy	-1.466	eV/atom
DFT total energy	-54.0	eV per cell
calculated volume	495.19	Å³/cell
magnetization	0.00	μB per formula unit

=====

Material: Rb4LaPr3Te8
Method: DFT, PBE
State: optimized geometry

```
Rb4LaPr3Te8
1.0
4.696 2.711 8.568
-4.696 2.711 8.568
0.000 -5.422 8.568
Rb La Pr Te
4 1 3 8
direct
0.000 0.000 0.000
0.000 0.500 0.500
0.500 0.000 0.500
0.500 0.500 0.000
0.500 0.500 0.500
0.000 0.000 0.500
0.000 0.500 0.000
0.500 0.000 0.000
0.234 0.736 0.736
0.235 0.235 0.235
0.264 0.264 0.766
0.264 0.766 0.264
0.736 0.234 0.736
0.736 0.736 0.234
0.765 0.765 0.765
0.766 0.264 0.264
```

raw formation energy	-1.432	eV/atom
DFT total energy	-71.2	eV per cell
calculated volume	654.53	Å³/cell
magnetization	0.00	μB per formula unit

=====

Material: RbLa2Pr3Te6
Method: DFT, PBE
State: optimized geometry

```
RbLa2Pr3Te6
1.0
10.099 -2.282 0.000
10.099 2.282 0.000
-2.243 0.000 9.118
Rb La Pr Te
1 2 3 6
direct
0.000 0.000 0.000
0.332 0.332 0.661
0.668 0.668 0.339
0.000 0.000 0.500
0.339 0.339 0.180
0.661 0.661 0.820
0.165 0.165 0.583
0.174 0.174 0.083
0.497 0.497 0.733
0.503 0.503 0.267
0.826 0.826 0.917
0.835 0.835 0.417
```

raw formation energy	-1.450	eV/atom
DFT total energy	-61.4	eV per cell
calculated volume	420.22	Å³/cell
magnetization	0.00	μB per formula unit

=====

Material: RbLa2PrTe4
Method: DFT, PBE
State: optimized geometry

```
RbLa2PrTe4
1.0
8.093 0.000 0.000
0.000 4.613 0.000
-2.624 0.000 7.761
Rb La Pr Te
1 2 1 4
direct
0.000 0.000 0.000
0.500 0.000 0.500
0.500 0.500 0.000
0.000 0.500 0.500
0.255 0.000 0.742
0.266 0.500 0.267
0.734 0.500 0.733
0.745 0.000 0.258
```

raw formation energy	-1.444	eV/atom
DFT total energy	-39.7	eV per cell
calculated volume	289.73	Å³/cell
magnetization	0.00	μB per formula unit